*w*
## CrCu2Tc (PBEsol)

Data for an optimized crystal structure of CrCu2Tc.

abc: 3.6491 3.6694 7.1962
angles: 90.00 90.00 90.00
Space group Imm2 (No. 44)
One atom of each set of equivalent atoms:
1 Cr 0.0000 0.0000 0.0000 [2 per cell]
2 Cu 0.0000 0.0000 0.5002 [2 per cell]
3 Cu 0.0000 0.5000 0.7503 [2 per cell]
4 Tc 0.0000 0.5000 0.2507 [2 per cell]

*x*
## CrCu2Tc (PBEsol)

Data for an optimized crystal structure of CrCu2Tc.

abc: 8.5025 2.4362 4.6873
angles: 90.00 95.71 90.00
Space group Cm (No. 8)
One atom of each set of equivalent atoms:
1 Cr 0.0000 0.0000 0.0000 [2 per cell]
2 Cu 0.0091 0.5000 0.5103 [2 per cell]
3 Cu 0.2558 0.0000 0.7267 [2 per cell]
4 Tc 0.2624 0.5000 0.2264 [2 per cell]

Verdict on stability: *x* comes out on top.

*w*
## Cr2CuW (PBEsol)

Data for an optimized crystal structure of Cr2CuW.

abc: 2.8310 2.8310 6.2367
angles: 90.00 90.00 90.00
Space group P4mm (No. 99)
One atom of each set of equivalent atoms:
1 Cr 0.0000 0.0000 0.0000 [1 per cell]
2 Cr 0.5000 0.5000 0.1907 [1 per cell]
3 Cu 0.0000 0.0000 0.4386 [1 per cell]
4 W 0.5000 0.5000 0.7226 [1 per cell]

*x*
## Cr2CuW (PBEsol)

Data for an optimized crystal structure of Cr2CuW.

abc: 2.4978 2.4978 8.1172
angles: 90.00 90.00 90.00
Space group P4/mmm (No. 123)
One atom of each set of equivalent atoms:
1 Cr 0.0000 0.0000 0.2312 [2 per cell]
2 Cu 0.5000 0.5000 0.0000 [1 per cell]
3 W 0.5000 0.5000 0.5000 [1 per cell]

Verdict on stability: *w* comes out on top.

*w*
## CrCuW (PBEsol)

Data for an optimized crystal structure of CrCuW.

abc: 5.6125 5.6125 5.6125
angles: 90.00 90.00 90.00
Space group F-43m (No. 216)
One atom of each set of equivalent atoms:
1 Cr 0.0000 0.0000 0.0000 [4 per cell]
2 Cu 0.2500 0.2500 0.7500 [4 per cell]
3 W 0.0000 0.0000 0.5000 [4 per cell]

*x*
## CrCuW (PBEsol)

Data for an optimized crystal structure of CrCuW.

abc: 2.4875 3.9570 7.9101
angles: 90.00 90.00 90.00
Space group Imm2 (No. 44)
One atom of each set of equivalent atoms:
1 Cr 0.0000 0.0000 0.0000 [2 per cell]
2 Cu 0.0000 0.0000 0.3397 [2 per cell]
3 W 0.0000 0.0000 0.6709 [2 per cell]

Verdict on stability: *x* comes out on top.

*w*
## YCr2Cu (PBEsol)

Data for an optimized crystal structure of YCr2Cu.

abc: 6.4607 6.4607 6.4607
angles: 90.00 90.00 90.00
Space group Fm-3m (No. 225)
One atom of each set of equivalent atoms:
1 Y 0.0000 0.0000 0.0000 [4 per cell]
2 Cr 0.2500 0.2500 0.2500 [8 per cell]
3 Cu 0.0000 0.0000 0.5000 [4 per cell]

*x*
## YCr2Cu (PBEsol)

Data for an optimized crystal structure of YCr2Cu.

abc: 3.3628 4.6384 4.2681
angles: 90.00 95.86 90.00
Space group P2/m (No. 10)
One atom of each set of equivalent atoms:
1 Y 0.0000 0.0000 0.0000 [1 per cell]
2 Cr 0.4152 0.5000 0.7781 [2 per cell]
3 Cu 0.5000 0.0000 0.5000 [1 per cell]

Verdict on stability: *x* comes out on top.